(1)
## LaNdAg2Sb4 (GGA-PBE)

Data for LaNdAg2Sb4 after structural relaxation.

Properties
Calculated density   7.78 g/cm³
Symmetry   P4mm (99)
Total energy   -37.6 eV for the cell shown

Cell and atoms, written as POSCAR:
```
LaNdAg2Sb4
1.0
4.421 0.000 0.000
0.000 4.421 0.000
0.000 0.000 10.759
La Nd Ag Sb
1 1 2 4
Direct
0.000 0.000 0.000
0.500 0.500 0.477
0.000 0.500 0.738
0.500 0.000 0.738
0.000 0.000 0.563
0.000 0.500 0.242
0.500 0.000 0.242
0.500 0.500 0.912
```

=====

(2)
## KCuC2N2 (GGA-PBE)

Data for KCuC2N2 after structural relaxation.

Properties
Calculated density   2.50 g/cm³
Symmetry   P2_1/c (14)
Total energy   -161.3 eV for the cell shown

Cell and atoms, written as POSCAR:
```
KCuC2N2
1.0
7.470 0.000 0.000
0.000 7.726 0.000
-1.632 0.000 7.109
K Cu C N
4 4 8 8
Direct
0.194 0.069 0.312
0.194 0.431 0.812
0.806 0.569 0.188
0.806 0.931 0.688
0.387 0.617 0.404
0.387 0.883 0.904
0.613 0.117 0.096
0.613 0.383 0.596
0.169 0.697 0.467
0.169 0.803 0.967
0.438 0.081 0.771
0.438 0.419 0.271
0.562 0.581 0.729
0.562 0.919 0.229
0.831 0.197 0.033
0.831 0.303 0.533
0.032 0.749 0.002
0.032 0.751 0.502
0.464 0.187 0.662
0.464 0.313 0.162
0.536 0.687 0.838
0.536 0.813 0.338
0.968 0.249 0.498
0.968 0.251 0.998
```

=====

(3)
## CdInCoW (GGA-PBE)

Data for CdInCoW after structural relaxation.

Properties
Calculated density   11.58 g/cm³
Symmetry   F-43m (216)
Energy relative to the lowest polymorph listed for this composition   0.00 eV per formula unit

Cell and atoms, written as POSCAR:
```
CdInCoW
1.0
0.000 3.230 3.230
3.230 0.000 3.230
3.230 3.230 0.000
Cd In Co W
1 1 1 1
Direct
0.000 0.000 0.000
0.250 0.250 0.250
0.500 0.500 0.500
0.750 0.750 0.750
```

=====

(4)
## PaZnW (GGA-PBE)

Data for PaZnW after structural relaxation.

Properties
Calculated density   11.59 g/cm³
Energy of formation   1.24 eV per atom
Symmetry   F-43m (216)
Energy relative to the lowest polymorph listed for this composition   1.48 eV per formula unit

Cell and atoms, written as POSCAR:
```
PaZnW
1.0
0.000 3.252 3.252
3.252 0.000 3.252
3.252 3.252 0.000
Pa Zn W
1 1 1
Direct
0.000 0.000 0.000
0.250 0.250 0.250
0.750 0.750 0.750
```

=====

(5)
## SiSbPt (GGA-PBE)

Data for SiSbPt after structural relaxation.

Properties
Calculated density   9.04 g/cm³
Symmetry   Pnma (62)
Total energy   -65.1 eV for the cell shown

Cell and atoms, written as POSCAR:
```
SiSbPt
1.0
6.579 0.000 0.000
0.000 3.783 0.000
0.000 0.000 10.182
Si Sb Pt
4 4 4
Direct
0.108 0.250 0.062
0.392 0.750 0.562
0.608 0.250 0.438
0.892 0.750 0.938
0.005 0.750 0.628
0.495 0.250 0.128
0.505 0.750 0.872
0.995 0.250 0.372
0.036 0.250 0.829
0.464 0.750 0.329
0.536 0.250 0.671
0.964 0.750 0.171
```

=====

(6)
## RbUGa (GGA-PBE)

Data for RbUGa after structural relaxation.

Properties
Calculated density   6.08 g/cm³
Symmetry   F-43m (216)
Energy relative to the lowest polymorph listed for this composition   0.00 eV per formula unit

Cell and atoms, written as POSCAR:
```
RbUGa
1.0
0.000 3.774 3.774
3.774 0.000 3.774
3.774 3.774 0.000
Rb U Ga
1 1 1
Direct
0.000 0.000 0.000
0.500 0.500 0.500
0.250 0.250 0.250
```

=====

(7)
## CsKNbSeS2 (GGA-PBE)

Data for CsKNbSeS2 after structural relaxation.

Properties
Calculated density   3.21 g/cm³
Symmetry   P-1 (2)
Total energy   -61.8 eV for the cell shown

Cell and atoms, written as POSCAR:
```
CsKNbSeS2
1.0
7.294 0.000 0.000
3.335 7.241 0.000
3.061 0.723 7.983
Cs K Nb Se S
2 2 2 2 4
Direct
0.164 0.433 0.200
0.836 0.567 0.800
0.415 0.818 0.355
0.585 0.182 0.645
0.127 0.943 0.830
0.873 0.057 0.170
0.331 0.623 0.762
0.669 0.377 0.238
0.142 0.154 0.600
0.233 0.020 0.030
0.767 0.980 0.970
0.858 0.846 0.400
```

=====

(8)
## Nb5N6 (GGA-PBE)

Data for Nb5N6 after structural relaxation.

Properties
Calculated density   7.36 g/cm³
Symmetry   P6_3/mcm (193)
Total energy   -223.2 eV for the cell shown

Cell and atoms, written as POSCAR:
```
Nb5N6
1.0
5.235 0.000 0.000
-2.618 4.534 0.000
0.000 0.000 10.421
Nb N
10 12
Direct
0.000 0.325 0.250
0.000 0.675 0.750
0.325 0.000 0.250
0.325 0.325 0.750
0.333 0.667 0.000
0.333 0.667 0.500
0.667 0.333 0.000
0.667 0.333 0.500
0.675 0.000 0.750
0.675 0.675 0.250
0.000 0.338 0.622
0.000 0.338 0.878
0.000 0.662 0.122
0.000 0.662 0.378
0.338 0.000 0.622
0.338 0.000 0.878
0.338 0.338 0.122
0.338 0.338 0.378
0.662 0.000 0.122
0.662 0.000 0.378
0.662 0.662 0.622
0.662 0.662 0.878
```